# InAsCSe2, optimized geometry, DFT PBEsol
data_InAsCSe2
_space_group_name_H-M_alt 'P 4/m m m'
_space_group_IT_number 123
_space_group_name_Hall '-P 4 2'
_cell_length_a 5.169
_cell_length_b 5.169
_cell_length_c 5.194
_cell_angle_alpha 90.00
_cell_angle_beta 90.00
_cell_angle_gamma 90.00
loop_
_atom_site_label
_atom_site_type_symbol
_atom_site_fract_x
_atom_site_fract_y
_atom_site_fract_z
In1 In 0.000 0.000 0.000
As1 As 0.000 0.000 0.500
C1 C 0.500 0.500 0.500
Se1 Se 0.000 0.500 0.000
# * E_form (uncorrected): 2074 meV per atom

# KAsC3, optimized geometry, DFT PBEsol
data_KAsC3
_space_group_name_H-M_alt 'P m -3 m'
_space_group_IT_number 221
_space_group_name_Hall '-P 4 2 3'
_cell_length_a 4.288
_cell_length_b 4.288
_cell_length_c 4.288
_cell_angle_alpha 90.00
_cell_angle_beta 90.00
_cell_angle_gamma 90.00
loop_
_atom_site_label
_atom_site_type_symbol
_atom_site_fract_x
_atom_site_fract_y
_atom_site_fract_z
K1 K 0.000 0.000 0.000
As1 As 0.500 0.500 0.500
C1 C 0.000 0.000 0.500
# * energy of formation from the pure elements: 100.13 kcal/mol of atoms

# LiAs3C, optimized geometry, DFT PBEsol
data_LiAs3C
_space_group_name_H-M_alt 'P m -3 m'
_space_group_IT_number 221
_space_group_name_Hall '-P 4 2 3'
_cell_length_a 4.347
_cell_length_b 4.347
_cell_length_c 4.347
_cell_angle_alpha 90.00
_cell_angle_beta 90.00
_cell_angle_gamma 90.00
loop_
_atom_site_label
_atom_site_type_symbol
_atom_site_fract_x
_atom_site_fract_y
_atom_site_fract_z
Li1 Li 0.000 0.000 0.000
As1 As 0.000 0.000 0.500
C1 C 0.500 0.500 0.500
# * energy of formation from the pure elements: 39.23 kcal/mol of atoms

# Li2AsOsC, optimized geometry, DFT PBEsol
data_Li2AsOsC
_space_group_name_H-M_alt 'P 4/m m m'
_space_group_IT_number 123
_space_group_name_Hall '-P 4 2'
_cell_length_a 4.726
_cell_length_b 4.726
_cell_length_c 3.779
_cell_angle_alpha 90.00
_cell_angle_beta 90.00
_cell_angle_gamma 90.00
loop_
_atom_site_label
_atom_site_type_symbol
_atom_site_fract_x
_atom_site_fract_y
_atom_site_fract_z
Li1 Li 0.000 0.500 0.000
As1 As 0.000 0.000 0.500
Os1 Os 0.500 0.500 0.000
C1 C 0.500 0.500 0.500
# * energy of formation from the pure elements: 24.24 kcal/mol of atoms

# LiAsRu2C, optimized geometry, DFT PBEsol
data_LiAsRu2C
_space_group_name_H-M_alt 'P 4/m m m'
_space_group_IT_number 123
_space_group_name_Hall '-P 4 2'
_cell_length_a 4.458
_cell_length_b 4.458
_cell_length_c 4.277
_cell_angle_alpha 90.00
_cell_angle_beta 90.00
_cell_angle_gamma 90.00
loop_
_atom_site_label
_atom_site_type_symbol
_atom_site_fract_x
_atom_site_fract_y
_atom_site_fract_z
Li1 Li 0.000 0.000 0.000
As1 As 0.000 0.000 0.500
Ru1 Ru 0.000 0.500 0.500
C1 C 0.500 0.500 0.000
# * energy of formation from the pure elements: 45.51 kcal/mol of atoms

# Mg2AsC, optimized geometry, DFT PBEsol
data_Mg2AsC
_space_group_name_H-M_alt 'I -4 2 d'
_space_group_IT_number 122
_space_group_name_Hall 'I -4 2bw'
_cell_length_a 7.069
_cell_length_b 7.069
_cell_length_c 5.147
_cell_angle_alpha 90.00
_cell_angle_beta 90.00
_cell_angle_gamma 90.00
loop_
_atom_site_label
_atom_site_type_symbol
_atom_site_fract_x
_atom_site_fract_y
_atom_site_fract_z
Mg1 Mg 0.147 0.750 0.125
As1 As 0.000 0.000 0.500
C1 C 0.000 0.000 0.000
# * energy of formation from the pure elements: 12.56 kcal/mol of atoms

# MnAs3C, optimized geometry, DFT PBEsol
data_MnAs3C
_space_group_name_H-M_alt 'P m -3 m'
_space_group_IT_number 221
_space_group_name_Hall '-P 4 2 3'
_cell_length_a 4.257
_cell_length_b 4.257
_cell_length_c 4.257
_cell_angle_alpha 90.00
_cell_angle_beta 90.00
_cell_angle_gamma 90.00
loop_
_atom_site_label
_atom_site_type_symbol
_atom_site_fract_x
_atom_site_fract_y
_atom_site_fract_z
Mn1 Mn 0.000 0.000 0.000
As1 As 0.000 0.500 0.500
C1 C 0.500 0.500 0.500
# * energy of formation from the pure elements: 24.91 kcal/mol of atoms

# Na2MnAsCO7, optimized geometry, DFT PBEsol
data_Na2MnAsCO7
_space_group_name_H-M_alt 'P 1 21/m 1'
_space_group_IT_number 11
_cell_length_a 5.353
_cell_length_b 6.579
_cell_length_c 9.154
_cell_angle_alpha 90.00
_cell_angle_beta 91.12
_cell_angle_gamma 90.00
loop_
_space_group_symop_operation_xyz
'x,y,z'
'-x,-y,-z'
'-x,y+1/2,-z'
'x,-y+1/2,z'
loop_
_atom_site_label
_atom_site_type_symbol
_atom_site_fract_x
_atom_site_fract_y
_atom_site_fract_z
Na1 Na 0.220 0.002 0.280
Mn1 Mn 0.227 0.750 0.851
As1 As 0.300 0.250 0.932
C1 C 0.290 0.750 0.577
O1 O 0.082 0.750 0.655
O2 O 0.160 0.250 0.097
O3 O 0.220 0.044 0.827
O4 O 0.280 0.750 0.440
O5 O 0.376 0.750 0.042
O6 O 0.491 0.750 0.657
# * E_form (uncorrected): -1568 meV per atom

Computed values of final energy (unit: eV for the cell shown) for the preceding records, in sequence: -15.1 -13.5 -18.4 -25.6 -27.2 -64.0 -29.3 -165.8.